Entry 1:
## HfZnH3 (GGA-PBE)

Data for HfZnH3 after structural relaxation.

Calculated values
Volume   53.6 Å³/f.u.
DFT total energy   -21.08 eV/cell
Symmetry   Pm-3m

abc: 3.7695 3.7695 3.7695
angles: 90.00 90.00 90.00
Sites, in units of the cell vectors:
1 H 0.0000 0.5000 0.0000
2 H 0.0000 0.0000 0.5000
3 H 0.5000 0.0000 0.0000
4 Zn 0.5000 0.5000 0.5000
5 Hf 0.0000 0.0000 0.0000

***

Entry 2:
## PrNdSmHg (GGA-PBE)

Data for PrNdSmHg after structural relaxation.

Calculated values
Volume   122.1 Å³/f.u.
Energy relative to the lowest polymorph listed for this composition   165 meV per atom
Energy relative to the elements   -0.07 eV per atom
DFT total energy   -14.84 eV/cell
Symmetry   F-43m

abc: 5.5692 5.5692 5.5692
angles: 60.00 60.00 60.00
Sites, in units of the cell vectors:
1 Pr 0.0000 0.0000 0.0000
2 Nd 0.5000 0.5000 0.5000
3 Hg 0.2500 0.2500 0.2500
4 Sm 0.7500 0.7500 0.7500

***

volume of number 2 (PrNdSmHg)? 122.1 Å³/f.u.

***

The lowest volume belongs to which entry? HfZnH3